# Th8Te4Ir3N | Alexandria | PBE | relaxed
data_Th8Te4Ir3N
_chemical_formula_sum 'Th16 Te8 Ir6 N2'
_symmetry_space_group_name_H-M 'C 1 2/m 1'
_symmetry_Int_Tables_number 12
_cell_length_a 14.3674
_cell_length_b 8.2763
_cell_length_c 8.9764
_cell_angle_alpha 90.00
_cell_angle_beta 122.26
_cell_angle_gamma 90.00
loop_
_symmetry_equiv_pos_as_xyz
'x,y,z'
'-x,-y,-z'
'-x,y,-z'
'x,-y,z'
'x+1/2,y+1/2,z'
'-x+1/2,-y+1/2,-z'
'-x+1/2,y+1/2,-z'
'x+1/2,-y+1/2,z'
loop_
_atom_site_label
_atom_site_type_symbol
_atom_site_fract_x
_atom_site_fract_y
_atom_site_fract_z
Th1 Th 0.0128 0.2376 0.3010
Th2 Th 0.2268 0.0000 0.7007
Th3 Th 0.2335 0.5000 0.7003
Te1 Te 0.0000 0.0000 0.0000
Te2 Te 0.0000 0.5000 0.0000
Te3 Te 0.2500 0.2500 0.0000
Ir1 Ir 0.0000 0.5000 0.5000
Ir2 Ir 0.2500 0.2500 0.5000
N1 N 0.0000 0.0000 0.5000
# E_tot = -248.53 eV/cell
# ΔE_f (raw) = -105.1 kJ/mol of atoms